# K2Tl9Hg6

Crystalline K2Tl9Hg6 at its relaxed geometry (GGA-PBE, the Alexandria database).

Cell: 6.6653 6.6653 15.8688 Å, 90.00 90.00 120.00°
Space group P6/mmm (No. 191)
Asymmetric unit:
K 0.0000 0.0000 0.1603 [2 per cell]
Tl 0.0000 0.5000 0.0000 [3 per cell]
Tl 0.0000 0.5000 0.3330 [6 per cell]
Hg 0.3333 0.6667 0.1652 [4 per cell]
Hg 0.3333 0.6667 0.5000 [2 per cell]

Computed properties:
E_form, eV per atom: 0.009
DFT total energy, Ry/atom: -0.10875

---

# NaAcIn4

Crystalline NaAcIn4 at its relaxed geometry (GGA-PBE, the Alexandria database).

Cell: 8.856 8.856 8.856 Å, 90.00 90.00 90.00°
Space group F-43m (No. 216)
Asymmetric unit:
Na 0.000 0.000 0.000 [4 per cell]
Ac 0.250 0.250 0.750 [4 per cell]
In 0.125 0.125 0.375 [16 per cell]

Computed properties:
E_form, eV per atom: -0.235
DFT total energy, Ry/atom: -0.21793
Offset from the most stable computed form, meV per atom: 65

---

# Th6Co2Te3C

Crystalline Th6Co2Te3C at its relaxed geometry (GGA-PBE, the Alexandria database).

Cell: 6.842 12.583 7.800 Å, 90.00 106.40 90.00°
Space group C2/m (No. 12)
Asymmetric unit:
Th 0.244 0.162 0.190 [8 per cell]
Th 0.249 0.000 0.803 [4 per cell]
Co 0.000 0.333 0.000 [4 per cell]
Te 0.000 0.170 0.500 [4 per cell]
Te 0.000 0.500 0.500 [2 per cell]
C 0.000 0.000 0.000 [2 per cell]

Computed properties:
DFT total energy, Ry/atom: -0.52743
Formation energy (no corrections), meV per atom: -728

---

# LuThRu4

Crystalline LuThRu4 at its relaxed geometry (GGA-PBE, the Alexandria database).

Cell: 7.591 7.591 7.591 Å, 90.00 90.00 90.00°
Space group F-43m (No. 216)
Asymmetric unit:
Lu 0.000 0.000 0.000 [4 per cell]
Th 0.250 0.250 0.250 [4 per cell]
Ru 0.125 0.125 0.625 [16 per cell]

Computed properties:
E_form, eV per atom: -0.321
DFT total energy, Ry/atom: -0.62439

---

# SrAg2Te

Crystalline SrAg2Te at its relaxed geometry (GGA-PBE, the Alexandria database).

Cell: 7.536 7.536 7.536 Å, 90.00 90.00 90.00°
Space group F-43m (No. 216)
Asymmetric unit:
Sr 0.000 0.000 0.000 [4 per cell]
Ag 0.000 0.000 0.500 [4 per cell]
Ag 0.250 0.250 0.250 [4 per cell]
Te 0.250 0.250 0.750 [4 per cell]

Computed properties:
DFT total energy, Ry/atom: -0.21979
Formation energy (no corrections), meV per atom: -359
Offset from the most stable computed form, meV per atom: 144

---

# Ce2PuSn

Crystalline Ce2PuSn at its relaxed geometry (GGA-PBE, the Alexandria database).

Cell: 6.729 9.573 6.673 Å, 90.00 90.00 90.00°
Space group Imma (No. 74)
Asymmetric unit:
Ce 0.000 0.000 0.000 [4 per cell]
Ce 0.250 0.250 0.250 [4 per cell]
Pu 0.250 0.250 0.750 [4 per cell]
Sn 0.000 0.000 0.500 [4 per cell]

Computed properties:
E_form, eV per atom: -0.372
DFT total energy, Ry/atom: -0.58233
Offset from the most stable computed form, meV per atom: 13

---

# KSrZr

Crystalline KSrZr at its relaxed geometry (GGA-PBE, the Alexandria database).

Cell: 4.123 5.701 20.120 Å, 90.00 90.00 90.00°
Space group Fmm2 (No. 42)
Asymmetric unit:
K 0.000 0.000 0.000 [4 per cell]
Sr 0.000 0.000 0.301 [4 per cell]
Zr 0.000 0.000 0.663 [4 per cell]

Computed properties:
E_form, eV per atom: 0.685
DFT total energy, Ry/atom: -0.22716
Offset from the most stable computed form, meV per atom: 10

---

# Mg3PbSe4O12

Crystalline Mg3PbSe4O12 at its relaxed geometry (GGA-PBE, the Alexandria database).

Cell: 10.7317 10.7317 8.0221 Å, 90.00 90.00 120.00°
Space group R32 (No. 155, hexagonal axes)
Asymmetric unit:
Mg 0.0000 0.5797 0.0000 [9 per cell]
Pb 0.0000 0.0000 0.0000 [3 per cell]
Se 0.0000 0.0000 0.5000 [3 per cell]
Se 0.0000 0.3999 0.5000 [9 per cell]
O 0.0000 0.5601 0.5000 [9 per cell]
O 0.0000 0.8274 0.5000 [9 per cell]
O 0.0502 0.1857 0.1947 [18 per cell]

Computed properties:
DFT total energy, Ry/atom: -0.38053
Formation energy (no corrections), meV per atom: -1081

---

# La2GaBi2

Crystalline La2GaBi2 at its relaxed geometry (GGA-PBE, the Alexandria database).

Cell: 8.610 8.610 4.414 Å, 90.00 90.00 90.00°
Space group P4/mbm (No. 127)
Asymmetric unit:
La 0.157 0.343 0.000 [4 per cell]
Ga 0.000 0.000 0.500 [2 per cell]
Bi 0.150 0.650 0.500 [4 per cell]

Computed properties:
E_form, eV per atom: -0.660
DFT total energy, Ry/atom: -0.35198
Offset from the most stable computed form, meV per atom: 0

---

# ScMo2N

Crystalline ScMo2N at its relaxed geometry (GGA-PBE, the Alexandria database).

Cell: 3.0896 3.0896 23.0084 Å, 90.00 90.00 120.00°
Space group R-3m (No. 166, hexagonal axes)
Asymmetric unit:
Sc 0.0000 0.0000 0.0000 [3 per cell]
Mo 0.0000 0.0000 0.1177 [6 per cell]
N 0.0000 0.0000 0.5000 [3 per cell]

Computed properties:
DFT total energy, Ry/atom: -0.64664
Formation energy (no corrections), meV per atom: 282
Offset from the most stable computed form, meV per atom: 478

---

# Pm4AsI5

Crystalline Pm4AsI5 at its relaxed geometry (GGA-PBE, the Alexandria database).

Cell: 19.456 4.274 8.996 Å, 90.00 102.69 90.00°
Space group C2/m (No. 12)
Asymmetric unit:
Pm 0.000 0.000 0.213 [4 per cell]
Pm 0.147 0.500 0.073 [4 per cell]
As 0.000 0.500 0.000 [2 per cell]
I 0.000 0.500 0.500 [2 per cell]
I 0.166 0.000 0.338 [4 per cell]
I 0.171 0.000 0.824 [4 per cell]

Computed properties:
DFT total energy, Ry/atom: -0.33005
Formation energy (no corrections), meV per atom: -1350

---

# Ba2PrNpO6

Crystalline Ba2PrNpO6 at its relaxed geometry (GGA-PBE, the Alexandria database).

Cell: 6.296 6.312 10.870 Å, 90.00 125.14 90.00°
Space group P2_1/c (No. 14)
Asymmetric unit:
Ba 0.242 0.026 0.250 [4 per cell]
Pr 0.500 0.000 0.000 [2 per cell]
Np 0.000 0.000 0.500 [2 per cell]
O 0.161 0.232 0.955 [4 per cell]
O 0.225 0.707 0.959 [4 per cell]
O 0.315 0.021 0.736 [4 per cell]

Computed properties:
DFT total energy, Ry/atom: -0.60044
Formation energy (no corrections), meV per atom: -3038

---

# ZrSb2Os

Crystalline ZrSb2Os at its relaxed geometry (GGA-PBE, the Alexandria database).

Cell: 10.082 3.283 5.354 Å, 90.00 110.59 90.00°
Space group Cm (No. 8)
Asymmetric unit:
Zr 0.000 0.000 0.000 [2 per cell]
Sb 0.235 0.000 0.819 [2 per cell]
Sb 0.448 0.000 0.478 [2 per cell]
Os 0.213 0.500 0.381 [2 per cell]

Computed properties:
DFT total energy, Ry/atom: -0.51921
Formation energy (no corrections), meV per atom: -59
Offset from the most stable computed form, meV per atom: 139

---

# KSbP

Crystalline KSbP at its relaxed geometry (GGA-PBE, the Alexandria database).

Cell: 6.408 6.408 5.749 Å, 90.00 90.00 90.00°
Space group P4/nmm (No. 129, origin choice 2)
Asymmetric unit:
K 0.250 0.750 0.000 [2 per cell]
Sb 0.250 0.250 0.354 [2 per cell]
P 0.250 0.250 0.756 [2 per cell]

Computed properties:
DFT total energy, Ry/atom: -0.24920
Formation energy (no corrections), meV per atom: 153
Offset from the most stable computed form, meV per atom: 428

---

# Cs2AgHgPt

Crystalline Cs2AgHgPt at its relaxed geometry (GGA-PBE, the Alexandria database).

Cell: 6.569 6.569 5.287 Å, 90.00 90.00 90.00°
Space group P4/mmm (No. 123)
Asymmetric unit:
Cs 0.000 0.500 0.000 [2 per cell]
Ag 0.000 0.000 0.500 [1 per cell]
Hg 0.500 0.500 0.500 [1 per cell]
Pt 0.000 0.000 0.000 [1 per cell]

Computed properties:
E_form, eV per atom: 0.055
DFT total energy, Ry/atom: -0.15620
Offset from the most stable computed form, meV per atom: 30

---

# V2AsH

Crystalline V2AsH at its relaxed geometry (GGA-PBE, the Alexandria database).

Cell: 4.770 4.770 9.268 Å, 90.00 90.00 90.00°
Space group I-42d (No. 122)
Asymmetric unit:
V 0.119 0.250 0.125 [8 per cell]
As 0.000 0.000 0.500 [4 per cell]
H 0.000 0.000 0.000 [4 per cell]

Computed properties:
DFT total energy, Ry/atom: -0.46593
Offset from the most stable computed form, meV per atom: 512

---

# PrDy3Co

Crystalline PrDy3Co at its relaxed geometry (GGA-PBE, the Alexandria database).

Cell: 13.256 3.742 11.232 Å, 90.00 90.98 90.00°
Space group C2/m (No. 12)
Asymmetric unit:
Pr 0.166 0.000 0.091 [4 per cell]
Dy 0.061 0.000 0.373 [4 per cell]
Dy 0.065 0.500 0.842 [4 per cell]
Dy 0.214 0.000 0.636 [4 per cell]
Co 0.084 0.500 0.560 [4 per cell]

Computed properties:
E_form, eV per atom: -0.089
DFT total energy, Ry/atom: -0.38421
Offset from the most stable computed form, meV per atom: 0

---

# Mn2CuB

Crystalline Mn2CuB at its relaxed geometry (GGA-PBE, the Alexandria database).

Cell: 3.276 3.276 16.183 Å, 90.00 90.00 90.00°
Space group I-42d (No. 122)
Asymmetric unit:
Mn 0.191 0.250 0.125 [8 per cell]
Cu 0.000 0.000 0.500 [4 per cell]
B 0.000 0.000 0.000 [4 per cell]

Computed properties:
E_form, eV per atom: 0.696
DFT total energy, Ry/atom: -0.48380

---

# LaNdCdAu

Crystalline LaNdCdAu at its relaxed geometry (GGA-PBE, the Alexandria database).

Cell: 7.643 7.643 7.643 Å, 90.00 90.00 90.00°
Space group F-43m (No. 216)
Asymmetric unit:
La 0.000 0.000 0.000 [4 per cell]
Nd 0.000 0.000 0.500 [4 per cell]
Cd 0.250 0.250 0.250 [4 per cell]
Au 0.250 0.250 0.750 [4 per cell]

Computed properties:
E_form, eV per atom: -0.511
DFT total energy, Ry/atom: -0.29271
Offset from the most stable computed form, meV per atom: 34

---

# Zn2AgPt9

Crystalline Zn2AgPt9 at its relaxed geometry (GGA-PBE, the Alexandria database).

Cell: 3.962 3.962 11.827 Å, 90.00 90.00 90.00°
Space group P4/mmm (No. 123)
Asymmetric unit:
Zn 0.000 0.000 0.165 [2 per cell]
Ag 0.000 0.000 0.500 [1 per cell]
Pt 0.000 0.500 0.000 [2 per cell]
Pt 0.000 0.500 0.327 [4 per cell]
Pt 0.500 0.500 0.164 [2 per cell]
Pt 0.500 0.500 0.500 [1 per cell]

Computed properties:
E_form, eV per atom: -0.208
DFT total energy, Ry/atom: -0.38138

---

# NpAgSn

Crystalline NpAgSn at its relaxed geometry (GGA-PBE, the Alexandria database).

Cell: 3.154 3.154 13.808 Å, 90.00 90.00 90.00°
Space group I4mm (No. 107)
Asymmetric unit:
Np 0.000 0.000 0.000 [2 per cell]
Ag 0.000 0.000 0.667 [2 per cell]
Sn 0.000 0.000 0.320 [2 per cell]

Computed properties:
E_form, eV per atom: 0.198
DFT total energy, Ry/atom: -0.47043

---

# TcRh4W

Crystalline TcRh4W at its relaxed geometry (GGA-PBE, the Alexandria database).

Cell: 7.490 4.704 5.148 Å, 90.00 100.77 90.00°
Space group P2/c (No. 13)
Asymmetric unit:
Tc 0.000 0.086 0.250 [2 per cell]
Rh 0.169 0.414 0.940 [4 per cell]
Rh 0.343 0.089 0.349 [4 per cell]
W 0.500 0.419 0.750 [2 per cell]

Computed properties:
E_form, eV per atom: -0.007
DFT total energy, Ry/atom: -0.64636
Offset from the most stable computed form, meV per atom: 0

---

# Fe2W

Crystalline Fe2W at its relaxed geometry (GGA-PBE, the Alexandria database).

Cell: 2.980 12.519 4.173 Å, 90.00 90.00 90.00°
Space group Cmcm (No. 63)
Asymmetric unit:
Fe 0.000 0.085 0.250 [4 per cell]
Fe 0.000 0.253 0.750 [4 per cell]
W 0.000 0.413 0.250 [4 per cell]

Computed properties:
E_form, eV per atom: 0.108
DFT total energy, Ry/atom: -0.72409